*i*
## AcTaAu (PBE)

Data for crystalline AcTaAu at its relaxed geometry.

abc: 4.833 4.833 4.833
angles: 60.00 60.00 60.00
Atoms (fractional coordinates):
Ac1 0.000 0.000 0.000
Au1 0.500 0.500 0.500
Ta1 0.250 0.250 0.250



*ii*
## AcTaAu (PBE)

Data for crystalline AcTaAu at its relaxed geometry.

abc: 5.040 5.040 5.040
angles: 60.00 60.00 60.00
Atoms (fractional coordinates):
Au1 0.250 0.250 0.250
Ta1 0.750 0.750 0.750
Ac1 0.000 0.000 0.000



Result of the stability comparison: *ii* is the least stable of them.



*i*
## AcZnAu (PBE)

Data for crystalline AcZnAu at its relaxed geometry.

abc: 5.145 5.145 5.145
angles: 60.00 60.00 60.00
Atoms (fractional coordinates):
Ac1 0.000 0.000 0.000
Au1 0.250 0.250 0.250
Zn1 0.750 0.750 0.750



*ii*
## AcZnAu (PBE)

Data for crystalline AcZnAu at its relaxed geometry.

abc: 4.905 4.905 4.905
angles: 60.00 60.00 60.00
Atoms (fractional coordinates):
Ac1 0.250 0.250 0.250
Zn1 0.000 0.000 0.000
Au1 0.750 0.750 0.750



Result of the stability comparison: *i* is the least stable of them.



*i*
## AcCoB4 (PBE)

Data for crystalline AcCoB4 at its relaxed geometry.

abc: 5.292 5.292 5.292
angles: 145.33 119.14 71.98
Atoms (fractional coordinates):
B1 0.417 0.754 0.663
B2 0.910 0.246 0.663
Co1 0.500 0.500 0.000
B3 0.583 0.246 0.337
B4 0.090 0.754 0.337
Ac1 0.000 0.000 0.000



*ii*
## AcCoB4 (PBE)

Data for crystalline AcCoB4 at its relaxed geometry.

abc: 3.219 3.219 7.137
angles: 90.00 90.00 120.00
Atoms (fractional coordinates):
Co1 0.000 0.000 0.000
Ac1 0.000 0.000 0.500
B1 0.667 0.333 0.177
B2 0.667 0.333 0.823
B3 0.333 0.667 0.177
B4 0.333 0.667 0.823



Result of the stability comparison: *i* is the least stable of them.



*i*
## AcCoB (PBE)

Data for crystalline AcCoB at its relaxed geometry.

abc: 4.400 4.400 4.400
angles: 60.00 60.00 60.00
Atoms (fractional coordinates):
B1 0.000 0.000 0.000
Ac1 0.250 0.250 0.250
Co1 0.750 0.750 0.750



*ii*
## AcCoB (PBE)

Data for crystalline AcCoB at its relaxed geometry.

abc: 4.376 4.376 4.376
angles: 60.00 60.00 60.00
Atoms (fractional coordinates):
Ac1 0.250 0.250 0.250
Co1 0.000 0.000 0.000
B1 0.750 0.750 0.750



Result of the stability comparison: *ii* is the least stable of them.